(1)
The following is a GGA-PBEsol calculation of an optimized crystal structure of TcHgW2, from Alexandria via LeMat-Bulk.

## Properties
The total energy comes out at -9.364 eV/atom. Its density of states at the Fermi level is 0.571 states/eV per atom.

```
data_TcHgW2
_chemical_formula_sum 'Tc1 Hg1 W2'
_cell_length_a 3.9261
_cell_length_b 3.9261
_cell_length_c 4.0997
_cell_angle_alpha 90.00
_cell_angle_beta 90.00
_cell_angle_gamma 90.00
_space_group_name_H-M_alt 'P 4/m m m'
_space_group_IT_number 123
_space_group_name_Hall '-P 4 2'
loop_
_atom_site_label
_atom_site_fract_x
_atom_site_fract_y
_atom_site_fract_z
Tc1 0.0000 0.0000 0.0000
Hg1 0.5000 0.5000 0.0000
W1 0.0000 0.5000 0.5000
```

---

(2)
The following is a GGA-PBEsol calculation of an optimized crystal structure of Sr2CdBr, from Alexandria via LeMat-Bulk.

## Properties
For the formation energy from raw total energies, the calculation gives -0.87 eV per atom. Its density of states at the Fermi level is 0.694 states/eV per atom.

```
data_Sr2CdBr
_chemical_formula_sum 'Sr2 Cd1 Br1'
_cell_length_a 4.0990
_cell_length_b 3.9037
_cell_length_c 8.7896
_cell_angle_alpha 90.00
_cell_angle_beta 90.62
_cell_angle_gamma 90.00
_space_group_name_H-M_alt 'P 1 2/m 1'
_space_group_IT_number 10
_space_group_name_Hall '-P 2y'
loop_
_atom_site_label
_atom_site_fract_x
_atom_site_fract_y
_atom_site_fract_z
Sr1 0.0054 0.0000 0.2220
Cd1 0.5000 0.5000 0.0000
Br1 0.0000 0.5000 0.5000
```